[1]
{"formula": "ReTe3", "functional": "GGA-PBEsol", "state": "optimized geometry", "lattice": [[-0.283, -2.531, -1.625], [-1.738, -1.282, 2.300], [-8.596, 6.405, -2.925]], "species": ["Re", "Te", "Te", "Te"], "fractional_positions": [[0.000, 0.000, 0.000], [0.802, 0.500, 0.801], [0.000, 0.000, 0.500], [0.198, 0.500, 0.199]], "formation_energy_uncorrected_mev_per_atom": 467.0, "magmom_total_mub_per_cell": 0.0, "polymorph_energy_mev_per_atom": 203}

[2]
{"formula": "InAgAs2", "functional": "GGA-PBEsol", "state": "optimized geometry", "lattice": [[-1.010, 2.862, 2.151], [-3.287, 0.940, -2.795], [-2.946, -2.908, 2.486]], "species": ["As", "As", "Ag", "In"], "fractional_positions": [[0.000, 0.000, 0.000], [0.500, 0.500, 0.000], [0.000, 0.500, 0.500], [0.500, 0.000, 0.500]], "magmom_total_mub_per_cell": 0.0, "total_energy_ev_per_cell": -15.533}

[3]
{"formula": "Si2AgSb", "functional": "GGA-PBEsol", "state": "optimized geometry", "lattice": [[-1.261, 1.057, -2.238], [-4.053, -1.445, 1.600], [0.527, 4.246, 5.168]], "species": ["Sb", "Si", "Si", "Ag"], "fractional_positions": [[0.000, 0.500, 0.000], [0.293, 0.000, 0.292], [0.707, 0.000, 0.708], [0.500, 0.500, 0.500]], "formation_energy_uncorrected_mev_per_atom": 343.8, "magmom_total_mub_per_cell": 0.0}

[4]
{"formula": "CoSb3", "functional": "GGA-PBEsol", "state": "optimized geometry", "lattice": [[-1.197, -2.507, 2.731], [4.434, -2.062, 0.051], [3.603, 2.033, 3.445]], "species": ["Sb", "Sb", "Sb", "Co"], "fractional_positions": [[0.500, 0.168, 0.664], [0.000, 0.500, 0.000], [0.500, 0.832, 0.336], [0.000, 0.000, 0.000]], "formation_energy_uncorrected_mev_per_atom": -1.4, "magmom_total_mub_per_cell": 0.0, "polymorph_energy_mev_per_atom": 229}

[5]
{"formula": "CdAg2Sb", "functional": "GGA-PBEsol", "state": "optimized geometry", "lattice": [[3.185, 0.000, 0.035], [0.000, 4.634, 0.000], [-1.005, 0.000, 5.465]], "species": ["Sb", "Ag", "Ag", "Cd"], "fractional_positions": [[0.693, 0.500, 0.802], [0.172, 0.000, 0.981], [0.301, 0.500, 0.287], [0.833, 0.000, 0.429]], "formation_energy_uncorrected_mev_per_atom": 54.2, "magmom_total_mub_per_cell": 0.0, "polymorph_energy_mev_per_atom": 11}

[6]
{"formula": "Pm2MgCd", "functional": "GGA-PBEsol", "state": "optimized geometry", "lattice": [[5.344, 0.000, 0.000], [2.672, 4.628, 0.000], [2.672, 1.543, 4.364]], "species": ["Mg", "Pm", "Pm", "Cd"], "fractional_positions": [[0.000, 0.000, 0.000], [0.250, 0.250, 0.250], [0.750, 0.750, 0.750], [0.500, 0.500, 0.500]], "magmom_total_mub_per_cell": 0.0, "total_energy_ev_per_cell": -14.037}

[7]
{"formula": "KBeCu2", "functional": "GGA-PBEsol", "state": "optimized geometry", "lattice": [[2.623, 0.000, 0.000], [0.000, 3.553, 0.000], [0.000, 0.000, 7.131]], "species": ["Be", "K", "Cu", "Cu"], "fractional_positions": [[0.500, 0.500, 0.862], [0.000, 0.000, 0.502], [0.000, 0.000, 0.975], [0.500, 0.500, 0.161]], "magmom_total_mub_per_cell": 0.0, "total_energy_ev_per_cell": -11.926}

[8]
{"formula": "BaZn2Te", "functional": "GGA-PBEsol", "state": "optimized geometry", "lattice": [[3.896, 0.000, 0.000], [0.000, 3.896, 0.000], [0.000, 0.000, 6.986]], "species": ["Ba", "Te", "Zn", "Zn"], "fractional_positions": [[0.500, 0.500, 0.000], [0.500, 0.500, 0.500], [0.000, 0.000, 0.694], [0.000, 0.000, 0.306]], "formation_energy_uncorrected_mev_per_atom": -271.0, "magmom_total_mub_per_cell": 0.0}